1.
# ScC | Alexandria | PBE | relaxed
# Crystal system: orthorhombic
# Fermi-level density of states, states/eV per cell: 6.0
# Distance to the lowest polymorph of the same formula, meV/atom: 204
# Volume, Å³ per atom: 13.48
# M_tot, μB per atom: 0.00
data_ScC
_cell_length_a 3.750
_cell_length_b 9.343
_cell_length_c 4.617
_cell_angle_alpha 90.00
_cell_angle_beta 90.00
_cell_angle_gamma 90.00
_space_group_name_H-M_alt 'I m m 2'
_space_group_IT_number 44
_space_group_name_Hall 'I 2 -2'
loop_
_atom_site_label
_atom_site_type_symbol
_atom_site_fract_x
_atom_site_fract_y
_atom_site_fract_z
_atom_site_occupancy
Sc1 Sc 0.000 0.000 0.000 1
Sc2 Sc 0.000 0.316 0.053 1
C1 C 0.000 0.355 0.556 1
C2 C 0.000 0.500 0.735 1

***

2.
# Sc3C5 | Alexandria | PBE | relaxed
# Crystal system: monoclinic
# Fermi-level density of states, states/eV per cell: 10.4
# Distance to the lowest polymorph of the same formula, meV/atom: 0
# Volume, Å³ per atom: 11.71
# M_tot, μB per atom: 0.00
data_Sc3C5
_cell_length_a 4.736
_cell_length_b 14.299
_cell_length_c 5.798
_cell_angle_alpha 90.00
_cell_angle_beta 107.37
_cell_angle_gamma 90.00
_space_group_name_H-M_alt 'C 1 2/m 1'
_space_group_IT_number 12
_space_group_name_Hall '-C 2y'
loop_
_atom_site_label
_atom_site_type_symbol
_atom_site_fract_x
_atom_site_fract_y
_atom_site_fract_z
_atom_site_occupancy
Sc1 Sc 0.000 0.157 0.000 1
Sc2 Sc 0.000 0.327 0.500 1
Sc3 Sc 0.164 0.500 0.270 1
C1 C 0.039 0.323 0.122 1
C2 C 0.159 0.000 0.081 1
C3 C 0.194 0.052 0.326 1

***

3.
# ScC | Alexandria | PBE | relaxed
# Crystal system: trigonal
# Fermi-level density of states, states/eV per cell: 6.7
# Distance to the lowest polymorph of the same formula, meV/atom: 789
# Volume, Å³ per atom: 12.52
# M_tot, μB per atom: 0.00
data_ScC
_cell_length_a 3.0911
_cell_length_b 3.0911
_cell_length_c 18.1544
_cell_angle_alpha 90.00
_cell_angle_beta 90.00
_cell_angle_gamma 120.00
_space_group_name_H-M_alt 'R -3 m'
_space_group_IT_number 166
_space_group_name_Hall '-R 3 2"'
loop_
_atom_site_label
_atom_site_type_symbol
_atom_site_fract_x
_atom_site_fract_y
_atom_site_fract_z
_atom_site_occupancy
Sc1 Sc 0.0000 0.0000 0.0876 1
C1 C 0.0000 0.0000 0.3332 1

***

4.
# ScC | Alexandria | PBE | relaxed
# Crystal system: hexagonal
# Fermi-level density of states, states/eV per cell: 0.4
# Distance to the lowest polymorph of the same formula, meV/atom: 224
# Volume, Å³ per atom: 12.78
# M_tot, μB per atom: 0.00
data_ScC
_cell_length_a 3.4959
_cell_length_b 3.4959
_cell_length_c 4.8301
_cell_angle_alpha 90.00
_cell_angle_beta 90.00
_cell_angle_gamma 120.00
_space_group_name_H-M_alt 'P 63/m m c'
_space_group_IT_number 194
_space_group_name_Hall '-P 6c 2c'
loop_
_atom_site_label
_atom_site_type_symbol
_atom_site_fract_x
_atom_site_fract_y
_atom_site_fract_z
_atom_site_occupancy
Sc1 Sc 0.3333 0.6667 0.2500 1
C1 C 0.0000 0.0000 0.0000 1

***

5.
# Sc2C | Alexandria | PBE | relaxed
# Crystal system: monoclinic
# Fermi-level density of states, states/eV per cell: 5.9
# Volume, Å³ per atom: 17.54
# Energy, eV per atom: -7.510
# M_tot, μB per atom: 0.00
data_Sc2C
_cell_length_a 11.829
_cell_length_b 3.144
_cell_length_c 6.751
_cell_angle_alpha 90.00
_cell_angle_beta 123.03
_cell_angle_gamma 90.00
_space_group_name_H-M_alt 'C 1 2/m 1'
_space_group_IT_number 12
_space_group_name_Hall '-C 2y'
loop_
_atom_site_label
_atom_site_type_symbol
_atom_site_fract_x
_atom_site_fract_y
_atom_site_fract_z
_atom_site_occupancy
Sc1 Sc 0.113 0.000 0.223 1
Sc2 Sc 0.147 0.000 0.781 1
C1 C 0.121 0.500 0.989 1

***

6.
# ScC | Alexandria | PBE | relaxed
# Crystal system: cubic
# Fermi-level density of states, states/eV per cell: 5.2
# Distance to the lowest polymorph of the same formula, meV/atom: 1283
# Volume, Å³ per atom: 16.18
# M_tot, μB per atom: 0.04
data_ScC
_cell_length_a 4.596
_cell_length_b 4.596
_cell_length_c 4.596
_cell_angle_alpha 90.00
_cell_angle_beta 90.00
_cell_angle_gamma 90.00
_space_group_name_H-M_alt 'P m -3 m'
_space_group_IT_number 221
_space_group_name_Hall '-P 4 2 3'
loop_
_atom_site_label
_atom_site_type_symbol
_atom_site_fract_x
_atom_site_fract_y
_atom_site_fract_z
_atom_site_occupancy
Sc1 Sc 0.000 0.000 0.500 1
C1 C 0.000 0.500 0.500 1

***

7.
# ScC | Alexandria | PBE | relaxed
# Crystal system: orthorhombic
# Fermi-level density of states, states/eV per cell: 20.1
# Distance to the lowest polymorph of the same formula, meV/atom: 940
# Volume, Å³ per atom: 19.35
# M_tot, μB per atom: 0.00
data_ScC
_cell_length_a 7.136
_cell_length_b 7.962
_cell_length_c 10.897
_cell_angle_alpha 90.00
_cell_angle_beta 90.00
_cell_angle_gamma 90.00
_space_group_name_H-M_alt 'F d d d'
_space_group_IT_number 70
loop_
_space_group_symop_operation_xyz
'x,y,z'
'-x,-y,-z'
'-x+1/4,-y+1/4,z'
'x+1/4,y+1/4,-z'
'x,-y+1/4,-z+1/4'
'-x,y+1/4,z+1/4'
'-x+1/4,y,-z+1/4'
'x+1/4,-y,z+1/4'
'x,y+1/2,z+1/2'
'-x,-y+1/2,-z+1/2'
'-x+1/4,-y+3/4,z+1/2'
'x+1/4,y+3/4,-z+1/2'
'x,-y+3/4,-z+3/4'
'-x,y+3/4,z+3/4'
'-x+1/4,y+1/2,-z+3/4'
'x+1/4,-y+1/2,z+3/4'
'x+1/2,y,z+1/2'
'-x+1/2,-y,-z+1/2'
'-x+3/4,-y+1/4,z+1/2'
'x+3/4,y+1/4,-z+1/2'
'x+1/2,-y+1/4,-z+3/4'
'-x+1/2,y+1/4,z+3/4'
'-x+3/4,y,-z+3/4'
'x+3/4,-y,z+3/4'
'x+1/2,y+1/2,z'
'-x+1/2,-y+1/2,-z'
'-x+3/4,-y+3/4,z'
'x+3/4,y+3/4,-z'
'x+1/2,-y+3/4,-z+1/4'
'-x+1/2,y+3/4,z+1/4'
'-x+3/4,y+1/2,-z+1/4'
'x+3/4,-y+1/2,z+1/4'
loop_
_atom_site_label
_atom_site_type_symbol
_atom_site_fract_x
_atom_site_fract_y
_atom_site_fract_z
_atom_site_occupancy
Sc1 Sc 0.125 0.321 0.125 1
C1 C 0.125 0.125 0.267 1

***

8.
# Sc5C4 | Alexandria | PBE | relaxed
# Crystal system: hexagonal
# Fermi-level density of states, states/eV per cell: 9.7
# Distance to the lowest polymorph of the same formula, meV/atom: 0
# Volume, Å³ per atom: 13.37
# M_tot, μB per atom: 0.00
data_Sc5C4
_cell_length_a 6.8417
_cell_length_b 6.8417
_cell_length_c 5.9367
_cell_angle_alpha 90.00
_cell_angle_beta 90.00
_cell_angle_gamma 120.00
_space_group_name_H-M_alt 'P 63/m c m'
_space_group_IT_number 193
_space_group_name_Hall '-P 6c 2'
loop_
_atom_site_label
_atom_site_type_symbol
_atom_site_fract_x
_atom_site_fract_y
_atom_site_fract_z
_atom_site_occupancy
Sc1 Sc 0.0000 0.2394 0.2500 1
Sc2 Sc 0.3333 0.6667 0.0000 1
C1 C 0.0000 0.0000 0.0000 1
C2 C 0.0000 0.4153 0.7500 1

***

The highest M_tot belongs to which entry?
number 6

***

Look up the M_tot of the seventh one.
0.00 μB per atom